LiInBiAu | Alexandria via LeMat-Bulk | PBE-GGA | optimized geometry; crystal system = cubic; calculated total energy = -0.11517 Ha/atom; magnetic moment = 0.00 μB/cell; calculated formation energy = -0.18 eV/atom
1.0
5.035 0.000 0.000
2.518 4.361 0.000
2.518 1.454 4.111
Li In Bi Au
1 1 1 1
Direct
0.500 0.500 0.500
0.250 0.250 0.250
0.750 0.750 0.750
0.000 0.000 0.000

Li2InBiAu | Alexandria via LeMat-Bulk | PBE-GGA | optimized geometry; crystal system = tetragonal; calculated total energy = -0.10408 Ha/atom; magnetic moment = 0.00 μB/cell; calculated formation energy = -0.09 eV/atom
1.0
-3.715 -3.268 0.657
3.073 -3.953 -2.286
1.829 -1.177 4.493
Li Bi Au In
2 1 1 1
Direct
0.500 0.000 0.000
0.000 0.000 0.500
0.000 0.500 0.000
0.000 0.000 0.000
0.500 0.500 0.500

NaInBiAu | Alexandria via LeMat-Bulk | PBE-GGA | optimized geometry; crystal system = cubic; calculated total energy = -0.10687 Ha/atom; magnetic moment = 0.00 μB/cell; calculated formation energy = -0.10 eV/atom
1.0
-3.997 -1.865 -2.821
0.609 -4.354 -2.843
-2.386 -4.429 1.451
Na Au Bi In
1 1 1 1
Direct
0.250 0.250 0.250
0.500 0.500 0.500
0.750 0.750 0.750
0.000 0.000 0.000

NbInBi2Au | Alexandria via LeMat-Bulk | PBE-GGA | optimized geometry; crystal system = tetragonal; calculated total energy = -0.14053 Ha/atom; magnetic moment = 3.19 μB/cell; calculated formation energy = 0.95 eV/atom
1.0
5.653 0.000 0.000
0.000 5.129 0.000
0.000 0.000 5.653
Au In Nb Bi
1 1 1 2
Direct
0.000 0.000 0.000
0.000 0.500 0.000
0.500 0.500 0.500
0.500 0.000 0.000
0.000 0.000 0.500

NdInBiAu | Alexandria via LeMat-Bulk | PBE-GGA | optimized geometry; crystal system = cubic; calculated total energy = -0.14870 Ha/atom; magnetic moment = 0.00 μB/cell; calculated formation energy = -0.38 eV/atom
1.0
-4.285 -2.001 -2.541
-0.743 -5.311 -0.235
-3.963 -2.283 2.810
In Bi Au Nd
1 1 1 1
Direct
0.500 0.500 0.500
0.750 0.750 0.750
0.250 0.250 0.250
0.000 0.000 0.000

InNiBiAu2 | Alexandria via LeMat-Bulk | PBE-GGA | optimized geometry; crystal system = tetragonal; calculated total energy = -0.12946 Ha/atom; magnetic moment = 0.00 μB/cell; calculated formation energy = 0.27 eV/atom
1.0
-2.525 -2.799 3.153
2.610 -3.776 -1.262
3.243 1.060 3.538
Au Ni In Bi
2 1 1 1
Direct
0.000 0.000 0.500
0.500 0.000 0.000
0.000 0.000 0.000
0.000 0.500 0.000
0.500 0.500 0.500

PaInBiAu | Alexandria via LeMat-Bulk | PBE-GGA | optimized geometry; crystal system = cubic; calculated total energy = -0.18032 Ha/atom; magnetic moment = 0.95 μB/cell; calculated formation energy = -0.06 eV/atom
1.0
5.240 0.000 0.000
2.620 4.538 0.000
2.620 1.513 4.279
Bi Au In Pa
1 1 1 1
Direct
0.500 0.500 0.500
0.000 0.000 0.000
0.250 0.250 0.250
0.750 0.750 0.750

InBiPb2Au | Alexandria via LeMat-Bulk | PBE-GGA | optimized geometry; crystal system = tetragonal; calculated total energy = -0.09920 Ha/atom; magnetic moment = 0.00 μB/cell; calculated formation energy = 0.76 eV/atom
1.0
-2.519 -3.899 3.985
4.531 0.478 3.332
-2.639 4.686 2.917
Pb Au Bi In
2 1 1 1
Direct
0.000 0.000 0.500
0.500 0.000 0.000
0.500 0.500 0.500
0.000 0.000 0.000
0.000 0.500 0.000